Record 1
Entry from Alexandria: a geometry-optimized Sm5CuPb3 structure (PBEsol).

Properties
* ΔH_f (0 K): -0.53 eV/atom

Unit cell a=6.628 b=9.295 c=9.295 alpha=120.00 beta=90.00 gamma=90.00
Atoms (fractional coordinates):
Sm 0.500 0.333 0.667
Sm 0.500 0.667 0.333
Sm 0.000 0.667 0.333
Sm 0.000 0.333 0.667
Sm 0.250 0.000 0.742
Sm 0.750 0.000 0.258
Sm 0.250 0.742 0.000
Sm 0.750 0.258 0.000
Sm 0.250 0.258 0.258
Sm 0.750 0.742 0.742
Cu 0.500 0.000 0.000
Cu 0.000 0.000 0.000
Pb 0.250 0.000 0.386
Pb 0.750 0.000 0.614
Pb 0.250 0.386 0.000
Pb 0.750 0.614 0.000
Pb 0.250 0.614 0.614
Pb 0.750 0.386 0.386

=====

Record 2
Entry from Alexandria: a geometry-optimized ZrCuSnPb2 structure (PBEsol).

Properties
* ΔH_f (0 K): 1.20 eV/atom

Unit cell a=5.416 b=5.587 c=5.587 alpha=90.00 beta=90.00 gamma=90.00
Atoms (fractional coordinates):
Pb 0.000 0.000 0.500
Pb 0.000 0.500 0.000
Cu 0.500 0.500 0.500
Sn 0.000 0.000 0.000
Zr 0.500 0.000 0.000

=====

Record 3
Entry from Alexandria: a geometry-optimized Sr2ZrCuPb structure (PBEsol).

Properties
* ΔH_f (0 K): 0.80 eV/atom

Unit cell a=5.491 b=6.159 c=6.159 alpha=90.00 beta=90.00 gamma=90.00
Site moments in Bohr magnetons follow the coordinates.
Atoms (fractional coordinates):
Pb 0.000 0.000 0.000  -0.03
Sr 0.000 0.000 0.500  0.02
Sr 0.000 0.500 0.000  0.02
Cu 0.500 0.500 0.500  -0.01
Zr 0.500 0.000 0.000  0.79

=====

Record 4
Entry from Alexandria: a geometry-optimized TaCuPb2 structure (PBEsol).

Properties
* ΔH_f (0 K): 0.56 eV/atom
* excess energy over the best structure of this formula in the dataset: 82 meV/atom

Unit cell a=3.282 b=3.867 c=6.292 alpha=90.00 beta=90.00 gamma=90.00
Atoms (fractional coordinates):
Cu 0.500 0.500 0.500
Pb 0.000 0.000 0.741
Pb 0.000 0.000 0.259
Ta 0.500 0.500 0.000

=====

Record 5
Entry from Alexandria: a geometry-optimized TaCuPb2 structure (PBEsol).

Properties
* ΔH_f (0 K): 0.63 eV/atom
* excess energy over the best structure of this formula in the dataset: 153 meV/atom

Unit cell a=4.272 b=4.272 c=5.331 alpha=113.62 beta=113.62 gamma=90.00
Atoms (fractional coordinates):
Cu 0.500 0.500 0.000
Pb 0.750 0.250 0.500
Pb 0.250 0.750 0.500
Ta 0.000 0.000 0.000

=====

Record 6
Entry from Alexandria: a geometry-optimized TaCuPb2 structure (PBEsol).

Properties
* ΔH_f (0 K): 0.48 eV/atom
* excess energy over the best structure of this formula in the dataset: 0 meV/atom

Unit cell a=3.090 b=4.988 c=6.082 alpha=114.21 beta=104.71 gamma=90.00
Atoms (fractional coordinates):
Cu 0.234 0.734 0.469
Pb 0.971 0.971 0.943
Pb 0.760 0.260 0.520
Ta 0.534 0.534 0.068

=====

Record 7
Entry from Alexandria: a geometry-optimized Ta2CuPb structure (PBEsol).

Properties
* ΔH_f (0 K): 0.43 eV/atom

Unit cell a=2.978 b=2.978 c=8.013 alpha=90.00 beta=90.00 gamma=95.63
Atoms (fractional coordinates):
Cu 0.500 0.500 0.500
Pb 0.500 0.500 0.000
Ta 0.000 0.000 0.290
Ta 0.000 0.000 0.710

=====

Record 8
Entry from Alexandria: a geometry-optimized TaCuPb structure (PBEsol).

Properties
* ΔH_f (0 K): 0.58 eV/atom

Unit cell a=2.981 b=4.535 c=4.535 alpha=120.00 beta=90.00 gamma=90.00
Atoms (fractional coordinates):
Cu 0.840 0.000 0.000
Pb 0.828 0.333 0.667
Ta 0.331 0.667 0.333

=====

Record 9
Entry from Alexandria: a geometry-optimized Tb5CuPb3 structure (PBEsol).

Properties
* ΔH_f (0 K): -0.53 eV/atom

Unit cell a=6.558 b=9.116 c=9.116 alpha=120.00 beta=90.00 gamma=90.00
Atoms (fractional coordinates):
Tb 0.250 0.000 0.745
Tb 0.750 0.000 0.255
Tb 0.250 0.745 0.000
Tb 0.750 0.255 0.000
Tb 0.250 0.255 0.255
Tb 0.750 0.745 0.745
Tb 0.500 0.333 0.667
Tb 0.500 0.667 0.333
Tb 0.000 0.667 0.333
Tb 0.000 0.333 0.667
Cu 0.500 0.000 0.000
Cu 0.000 0.000 0.000
Pb 0.250 0.000 0.388
Pb 0.750 0.000 0.612
Pb 0.250 0.388 0.000
Pb 0.750 0.612 0.000
Pb 0.250 0.612 0.612
Pb 0.750 0.388 0.388

=====

Record 10
Entry from Alexandria: a geometry-optimized CuTcPb2 structure (PBEsol).

Properties
* ΔH_f (0 K): 0.56 eV/atom
* excess energy over the best structure of this formula in the dataset: 11 meV/atom

Unit cell a=3.657 b=3.657 c=5.706 alpha=90.00 beta=90.00 gamma=90.00
Atoms (fractional coordinates):
Cu 0.500 0.500 0.760
Pb 0.000 0.000 0.958
Pb 0.500 0.500 0.294
Tc 0.000 0.000 0.488

=====

Record 11
Entry from Alexandria: a geometry-optimized CuTcPb2 structure (PBEsol).

Properties
* ΔH_f (0 K): 0.71 eV/atom
* excess energy over the best structure of this formula in the dataset: 161 meV/atom

Unit cell a=4.739 b=4.739 c=4.739 alpha=60.00 beta=60.00 gamma=60.00
Atoms (fractional coordinates):
Cu 0.000 0.000 0.000
Pb 0.250 0.250 0.250
Pb 0.750 0.750 0.750
Tc 0.500 0.500 0.500

=====

Record 12
Entry from Alexandria: a geometry-optimized CuTc2Pb structure (PBEsol).

Properties
* ΔH_f (0 K): 0.55 eV/atom

Unit cell a=3.119 b=4.726 c=4.734 alpha=100.54 beta=90.00 gamma=109.27
Atoms (fractional coordinates):
Cu 0.000 0.000 0.500
Pb 0.500 0.000 0.000
Tc 0.739 0.479 0.693
Tc 0.261 0.521 0.307